(1)
An optimized crystal structure of SrScOs3, computed with PBE. Values from VASP.

## Properties
**Space group**: Pm-3m (221)
**ΔE to the lowest computed polymorph**: 0.000 eV per atom

Cell and atoms, written as Quantum ESPRESSO input:
```
&SYSTEM
  ibrav = 0, nat = 5, ntyp = 3
/
ATOMIC_SPECIES
Sr 87.62 Sr.upf
Sc 44.96 Sc.upf
Os 190.23 Os.upf
CELL_PARAMETERS angstrom
4.8139 0.0000 0.0000
0.0000 4.8139 0.0000
0.0000 0.0000 4.8139
ATOMIC_POSITIONS angstrom
Sr 0.0000 0.0000 0.0000
Sc 2.4070 2.4070 2.4070
Os 0.0000 2.4070 2.4070
Os 2.4070 0.0000 2.4070
Os 2.4070 2.4070 0.0000
```

(2)
An optimized crystal structure of Sr4ScOs, computed with PBE. Values from VASP.

## Properties
**Space group**: F-43m (216)

Cell and atoms, written as Quantum ESPRESSO input:
```
&SYSTEM
  ibrav = 0, nat = 6, ntyp = 3
/
ATOMIC_SPECIES
Sr 87.62 Sr.upf
Sc 44.96 Sc.upf
Os 190.23 Os.upf
CELL_PARAMETERS angstrom
0.0000 4.6610 4.6610
4.6610 0.0000 4.6610
4.6610 4.6610 0.0000
ATOMIC_POSITIONS angstrom
Sr 1.1545 1.1545 1.1545
Sr 3.5065 3.5065 1.1545
Sr 3.5065 1.1545 3.5065
Sr 1.1545 3.5065 3.5065
Sc 4.6610 4.6610 4.6610
Os 6.9915 6.9915 6.9915
```

(3)
An optimized crystal structure of Sr2ScOs, computed with PBE. Values from VASP.

## Properties
**Space group**: P4/mmm (123)
**ΔE to the lowest computed polymorph**: 0.513 eV per atom

Cell and atoms, written as Quantum ESPRESSO input:
```
&SYSTEM
  ibrav = 0, nat = 4, ntyp = 3
/
ATOMIC_SPECIES
Sr 87.62 Sr.upf
Sc 44.96 Sc.upf
Os 190.23 Os.upf
CELL_PARAMETERS angstrom
4.4906 0.0000 0.0000
0.0000 4.4906 0.0000
0.0000 0.0000 5.1299
ATOMIC_POSITIONS angstrom
Sr 0.0000 2.2453 0.0000
Sr 2.2453 0.0000 0.0000
Sc 0.0000 0.0000 2.5649
Os 2.2453 2.2453 2.5649
```

(4)
An optimized crystal structure of Sr2ScOs, computed with PBE. Values from VASP.

## Properties
**Space group**: Fm-3m (225)
**ΔE to the lowest computed polymorph**: 0.625 eV per atom

Cell and atoms, written as Quantum ESPRESSO input:
```
&SYSTEM
  ibrav = 0, nat = 4, ntyp = 3
/
ATOMIC_SPECIES
Sr 87.62 Sr.upf
Sc 44.96 Sc.upf
Os 190.23 Os.upf
CELL_PARAMETERS angstrom
0.0000 3.7618 3.7618
3.7618 0.0000 3.7618
3.7618 3.7618 0.0000
ATOMIC_POSITIONS angstrom
Sr 1.8809 1.8809 1.8809
Sr 5.6427 5.6427 5.6427
Sc 0.0000 0.0000 0.0000
Os 3.7618 3.7618 3.7618
```

(5)
An optimized crystal structure of Sr2ScOs, computed with PBE. Values from VASP.

## Properties
**Space group**: Cm (8)
**ΔE to the lowest computed polymorph**: 0.008 eV per atom

Cell and atoms, written as Quantum ESPRESSO input:
```
&SYSTEM
  ibrav = 0, nat = 4, ntyp = 3
/
ATOMIC_SPECIES
Sr 87.62 Sr.upf
Sc 44.96 Sc.upf
Os 190.23 Os.upf
CELL_PARAMETERS angstrom
3.8957 -2.2499 0.0000
3.8957 2.2499 0.0000
-2.5738 0.0000 8.0213
ATOMIC_POSITIONS angstrom
Sr 0.0000 0.0000 0.0000
Sr 0.0017 0.0000 4.3265
Sc 5.1931 0.0000 2.1621
Os 2.5944 0.0000 2.1435
```

(6)
An optimized crystal structure of Sr2ScOs, computed with PBE. Values from VASP.

## Properties
**Space group**: F-43m (216)
**ΔE to the lowest computed polymorph**: 0.392 eV per atom

Cell and atoms, written as Quantum ESPRESSO input:
```
&SYSTEM
  ibrav = 0, nat = 4, ntyp = 3
/
ATOMIC_SPECIES
Sr 87.62 Sr.upf
Sc 44.96 Sc.upf
Os 190.23 Os.upf
CELL_PARAMETERS angstrom
0.0000 3.6958 3.6958
3.6958 0.0000 3.6958
3.6958 3.6958 0.0000
ATOMIC_POSITIONS angstrom
Sr 0.0000 0.0000 0.0000
Sr 1.8479 1.8479 1.8479
Sc 5.5437 5.5437 5.5437
Os 3.6958 3.6958 3.6958
```

(7)
An optimized crystal structure of Sr2ScOs, computed with PBE. Values from VASP.

## Properties
**Space group**: P2/m (10)
**ΔE to the lowest computed polymorph**: 0.602 eV per atom

Cell and atoms, written as Quantum ESPRESSO input:
```
&SYSTEM
  ibrav = 0, nat = 4, ntyp = 3
/
ATOMIC_SPECIES
Sr 87.62 Sr.upf
Sc 44.96 Sc.upf
Os 190.23 Os.upf
CELL_PARAMETERS angstrom
3.7419 0.0000 0.0000
0.0000 4.9222 0.0000
-1.2198 0.0000 5.9687
ATOMIC_POSITIONS angstrom
Sr 0.0610 0.0000 1.6508
Sr 2.4611 0.0000 4.3179
Sc 1.8709 2.4611 0.0000
Os 1.2611 2.4611 2.9844
```

(8)
An optimized crystal structure of Sr2ScOs, computed with PBE. Values from VASP.

## Properties
**Space group**: P4/mmm (123)
**ΔE to the lowest computed polymorph**: 0.567 eV per atom

Cell and atoms, written as Quantum ESPRESSO input:
```
&SYSTEM
  ibrav = 0, nat = 4, ntyp = 3
/
ATOMIC_SPECIES
Sr 87.62 Sr.upf
Sc 44.96 Sc.upf
Os 190.23 Os.upf
CELL_PARAMETERS angstrom
3.4695 0.0000 0.0000
0.0000 3.4695 0.0000
0.0000 0.0000 9.8363
ATOMIC_POSITIONS angstrom
Sr 0.0000 0.0000 1.8735
Sr 0.0000 0.0000 7.9627
Sc 1.7347 1.7347 4.9181
Os 1.7347 1.7347 0.0000
```

(9)
An optimized crystal structure of Sr2ScOs, computed with PBE. Values from VASP.

## Properties
**Space group**: I4/mmm (139)
**ΔE to the lowest computed polymorph**: 0.531 eV per atom

Cell and atoms, written as Quantum ESPRESSO input:
```
&SYSTEM
  ibrav = 0, nat = 4, ntyp = 3
/
ATOMIC_SPECIES
Sr 87.62 Sr.upf
Sc 44.96 Sc.upf
Os 190.23 Os.upf
CELL_PARAMETERS angstrom
-2.2372 2.2372 5.1946
2.2372 -2.2372 5.1946
2.2372 2.2372 -5.1946
ATOMIC_POSITIONS angstrom
Sr 2.2372 0.0000 2.5973
Sr 0.0000 2.2372 2.5973
Sc 0.0000 0.0000 0.0000
Os 0.0000 0.0000 5.1946
```

(10)
An optimized crystal structure of Sr2ScOs, computed with PBE. Values from VASP.

## Properties
**Space group**: Imm2 (44)
**ΔE to the lowest computed polymorph**: 0.101 eV per atom

Cell and atoms, written as Quantum ESPRESSO input:
```
&SYSTEM
  ibrav = 0, nat = 4, ntyp = 3
/
ATOMIC_SPECIES
Sr 87.62 Sr.upf
Sc 44.96 Sc.upf
Os 190.23 Os.upf
CELL_PARAMETERS angstrom
-1.8607 2.8904 5.6826
1.8607 -2.8904 5.6826
1.8607 2.8904 -5.6826
ATOMIC_POSITIONS angstrom
Sr 0.0000 0.0000 0.0000
Sr 0.0000 2.8904 2.1538
Sc 0.0000 0.0000 4.1889
Os 1.8607 0.0000 2.5024
```

(11)
An optimized crystal structure of Sr2ScOs, computed with PBE. Values from VASP.

## Properties
**Space group**: I-42d (122)
**ΔE to the lowest computed polymorph**: 0.287 eV per atom

Cell and atoms, written as Quantum ESPRESSO input:
```
&SYSTEM
  ibrav = 0, nat = 8, ntyp = 3
/
ATOMIC_SPECIES
Sr 87.62 Sr.upf
Sc 44.96 Sc.upf
Os 190.23 Os.upf
CELL_PARAMETERS angstrom
-5.6420 5.6420 2.4708
5.6420 -5.6420 2.4708
5.6420 5.6420 -2.4708
ATOMIC_POSITIONS angstrom
Sr -1.0195 2.8210 0.6177
Sr 2.8210 4.6225 1.8531
Sr 1.0195 8.4630 0.6177
Sr -2.8210 6.6615 1.8531
Sc 5.6420 0.0000 1.2354
Sc 0.0000 0.0000 2.4708
Os 0.0000 0.0000 0.0000
Os 0.0000 5.6420 1.2354
```

(12)
An optimized crystal structure of Sr2ScOs, computed with PBE. Values from VASP.

## Properties
**Space group**: Pmmm (47)
**ΔE to the lowest computed polymorph**: 0.624 eV per atom

Cell and atoms, written as Quantum ESPRESSO input:
```
&SYSTEM
  ibrav = 0, nat = 4, ntyp = 3
/
ATOMIC_SPECIES
Sr 87.62 Sr.upf
Sc 44.96 Sc.upf
Os 190.23 Os.upf
CELL_PARAMETERS angstrom
3.7271 0.0000 0.0000
0.0000 4.4682 0.0000
0.0000 0.0000 6.5811
ATOMIC_POSITIONS angstrom
Sr 0.0000 0.0000 1.4618
Sr 0.0000 0.0000 5.1194
Sc 1.8636 2.2341 3.2906
Os 1.8636 2.2341 0.0000
```

(13)
An optimized crystal structure of Sr2ScOs, computed with PBE. Values from VASP.

## Properties
**Space group**: R-3m (166)
**ΔE to the lowest computed polymorph**: 0.699 eV per atom

Cell and atoms, written as Quantum ESPRESSO input:
```
&SYSTEM
  ibrav = 0, nat = 4, ntyp = 3
/
ATOMIC_SPECIES
Sr 87.62 Sr.upf
Sc 44.96 Sc.upf
Os 190.23 Os.upf
CELL_PARAMETERS angstrom
1.7500 1.0104 11.0308
-1.7500 1.0104 11.0308
0.0000 -2.0207 11.0308
ATOMIC_POSITIONS angstrom
Sr 0.0000 0.0000 7.7332
Sr 0.0000 0.0000 25.3591
Sc 0.0000 0.0000 0.0000
Os 0.0000 0.0000 16.5461
```

no.,ΔE_f (eV/atom)
1,1.66
2,1.31
3,0.67
4,0.79
5,0.17
6,0.55
7,0.76
8,0.73
9,0.69
10,0.26
11,0.45
12,0.79
13,0.86